VASP calculation (PBEsol) on HfHg2RhC after structural relaxation.

As for the calculated formation energy: 1.540 eV per atom. The calculation puts the density of states at the Fermi level at 1.44 states/eV per atom.

The structure in CIF format:
```
data_HfHg2RhC
_cell_length_a 5.3778
_cell_length_b 5.3778
_cell_length_c 3.9683
_cell_angle_alpha 90.00
_cell_angle_beta 90.00
_cell_angle_gamma 90.00
_space_group_name_H-M_alt 'P 4/m m m'
_space_group_IT_number 123
_space_group_name_Hall '-P 4 2'
loop_
_atom_site_label
_atom_site_fract_x
_atom_site_fract_y
_atom_site_fract_z
Hf1 0.0000 0.0000 0.0000
Hg1 0.0000 0.5000 0.0000
Rh1 0.5000 0.5000 0.5000
C1 0.0000 0.0000 0.5000
```